Compound: MgMn2Re
Source: the Alexandria database
Functional: GGA-PBE
Structure: relaxed

Results
- Size of the total moment: 0.9834 μB per atom
- E: -31.285 eV/cell
- E_form: 1.10 eV/f.u.
- Symmetry: Pm (6)
- Fermi-level density of states: 3.9 states/eV per cell

Cell lengths 4.3138, 2.6432, 4.9744 Å; angles 80.83, 90.00, 90.00 degrees
Closest atoms and distances in Å follow each position.
Sites, in units of the cell vectors:
Mg (0.5000, 0.7374, 0.7685)  4 Mn 2.60-2.63, 2 Mg 2.64, 2 Re 2.76
Mn (0.5000, 0.2414, 0.2687)  2 Re 2.51, 2 Mg 2.62-2.63, 4 Mn 2.64-2.66
Re (0.0000, 0.4835, 0.4720)  4 Mn 2.51-2.66, 2 Re 2.64, 2 Mg 2.76
Mn (0.0000, 0.0377, 0.9908)  3 Re 2.60-2.83, 2 Mg 2.60, 4 Mn 2.64-2.66

Compound: Mg2MnRe
Source: the Alexandria database
Functional: GGA-PBE
Structure: relaxed

Results
- Size of the total moment: 0.7345 μB per atom
- E: -23.447 eV/cell
- E above lowest polymorph: 229.2 meV per atom
- E_form: 1.36 eV/f.u.
- Symmetry: C2/m (12)
- Fermi-level density of states: 3.3 states/eV per cell

Cell lengths 5.2081, 5.3429, 2.6951 Å; angles 80.28, 80.14, 116.37 degrees
Closest atoms and distances in Å follow each position.
Sites, in units of the cell vectors:
Mg (0.0000, 0.0000, 0.0000)  4 Mg 2.70-2.72, 2 Re 2.78, 2 Mn 2.78
Mn (0.0000, 0.5000, 0.5000)  2 Mn 2.70, 2 Re 2.72, 4 Mg 2.78
Mg (0.5000, 0.0000, 0.5000)  4 Mg 2.70-2.72, 2 Mn 2.78, 2 Re 2.78
Re (0.5000, 0.5000, 0.0000)  2 Re 2.70, 2 Mn 2.72, 4 Mg 2.78

Compound: MgMn2Re
Source: the Alexandria database
Functional: GGA-PBE
Structure: relaxed

Results
- Size of the total moment: 0.7900 μB per atom
- E: -58.821 eV/cell
- E_form: 2.97 eV/f.u.
- Symmetry: I-42d (122)
- Fermi-level density of states: 6.3 states/eV per cell

Cell lengths 6.8981, 6.8981, 5.5634 Å; angles 51.69, 51.69, 90.00 degrees
Closest atoms and distances in Å follow each position.
Sites, in units of the cell vectors:
Mg (0.5000, 0.5000, 0.0000)  2 Re 2.68, 4 Mn 2.73
Mn (0.6670, 0.1250, 0.2500)  2 Re 2.34
Re (0.7500, 0.2500, 0.5000)  4 Mn 2.34
Mg (0.2500, 0.7500, 0.5000)  2 Re 2.68, 4 Mn 2.73
Re (0.0000, 0.0000, 0.0000)  4 Mn 2.34
Mn (0.8750, 0.9170, 0.7500)  2 Re 2.34
Mn (0.3750, 0.3330, 0.7500)  2 Re 2.34
Mn (0.0830, 0.6250, 0.2500)  2 Re 2.34

Compound: Mg2MnRe
Source: the Alexandria database
Functional: GGA-PBE
Structure: relaxed

Results
- Size of the total moment: 1.0855 μB per atom
- E: -22.514 eV/cell
- E above lowest polymorph: 462.2 meV per atom
- E_form: 2.29 eV/f.u.
- Symmetry: Fm-3m (225)
- Fermi-level density of states: 3.3 states/eV per cell

Cell lengths 4.5208, 4.5208, 4.5208 Å; angles 60.00, 60.00, 60.00 degrees
Closest atoms and distances in Å follow each position.
Sites, in units of the cell vectors:
Re (0.5000, 0.5000, 0.5000)  8 Mg 2.77
Mg (0.7500, 0.7500, 0.7500)  4 Re 2.77, 4 Mn 2.77
Mg (0.2500, 0.2500, 0.2500)  4 Re 2.77, 4 Mn 2.77
Mn (0.0000, 0.0000, 0.0000)  8 Mg 2.77